# 1
The following is a DFT calculation (GGA-PBE) of a relaxed structure of LiFeTcNi.

Computed properties:
For the volume, the calculation gives 47 Å³ per cell. The value obtained for the calculated formation energy is 0.151 eV per atom. For the density of states at the Fermi level, the calculation gives 1.423 states/eV/f.u. The value obtained for the uncorrected energy is -6.480 eV per atom.

```
LiFeTcNi
1.0
-3.193 -1.134 2.210
0.181 -3.366 2.237
0.139 0.258 4.035
Li Tc Fe Ni
1 1 1 1
direct
0.000 0.000 0.000
0.750 0.750 0.750
0.500 0.500 0.500
0.250 0.250 0.250
```

---

# 2
The following is a DFT calculation (GGA-PBE) of a relaxed structure of PrTl2AsSe4.

Computed properties:
For the volume, the calculation gives 466 Å³ per cell. The calculation puts the energy relative to the elements, uncorrected at -731 meV per atom. For the density of states at the Fermi level, the calculation gives 0.485 states/eV/f.u. The value obtained for the uncorrected energy is -4.243 eV per atom.

```
PrTl2AsSe4
1.0
8.704 -0.006 -0.127
-0.012 8.704 -0.127
-4.349 -4.352 6.276
Tl Se As Pr
4 8 2 2
direct
0.500 0.000 0.000
0.500 0.000 0.500
0.000 0.000 0.500
0.500 0.500 0.000
0.255 0.709 0.482
0.243 0.257 0.041
0.757 0.743 0.541
0.209 0.755 0.982
0.757 0.743 0.959
0.745 0.291 0.518
0.243 0.257 0.459
0.791 0.245 0.018
0.500 0.500 0.500
0.000 0.000 0.000
0.000 0.500 0.000
0.000 0.500 0.500
```